# GGA+U KVNO2, relaxed
data_KVNO2
_cell_length_a 4.5301
_cell_length_b 4.5301
_cell_length_c 4.5358
_cell_angle_alpha 90.00
_cell_angle_beta 90.00
_cell_angle_gamma 90.00
_space_group_name_H-M_alt 'P 4/m m m'
_space_group_IT_number 123
_space_group_name_Hall '-P 4 2'
loop_
_atom_site_label
_atom_site_type_symbol
_atom_site_fract_x
_atom_site_fract_y
_atom_site_fract_z
K1 K 0.0000 0.0000 0.0000
V1 V 0.5000 0.5000 0.5000
N1 N 0.0000 0.0000 0.5000
O1 O 0.0000 0.5000 0.0000
# DFT total energy = -3.7617 eV/atom
# magnetic moment = 1.0 μB/f.u.